# PBE-GGA Y6TlPd5, relaxed
# SG: P2/m (10)
# Energy relative to the elements in eV per formula unit: -9.20
# Uncorrected energy in eV/atom: -6.359
data_Y6TlPd5
_chemical_formula_sum 'Y6 Tl1 Pd5'
_cell_length_a 5.0603
_cell_length_b 7.0881
_cell_length_c 8.0188
_cell_angle_alpha 90.00
_cell_angle_beta 108.65
_cell_angle_gamma 90.00
_symmetry_space_group_name_H-M 'P 1'
_symmetry_Int_Tables_number 1
_symmetry_space_group_name_Hall 'P 1'
loop_
_atom_site_label
_atom_site_fract_x
_atom_site_fract_y
_atom_site_fract_z
_atom_site_occupancy
Y1 0.8285 0.7462 0.6559 1
Y2 0.8285 0.2538 0.6559 1
Y3 0.5000 0.2632 0.0000 1
Y4 0.5000 0.7368 0.0000 1
Y5 0.1715 0.7462 0.3441 1
Y6 0.1715 0.2538 0.3441 1
Tl1 0.0000 0.0000 0.0000 1
Pd1 0.6641 0.5000 0.3315 1
Pd2 0.3431 0.0000 0.6824 1
Pd3 0.0000 0.5000 0.0000 1
Pd4 0.6569 0.0000 0.3176 1
Pd5 0.3359 0.5000 0.6685 1